# 1
This record from the Alexandria database describes a relaxed structure of LiTaRe2Au. The functional is PBE-GGA.

extended XYZ file:
```
5
Lattice="4.741 0.000 0.000 0.000 4.741 0.000 0.000 0.000 4.676" Properties=species:S:1:pos:R:3 pbc="T T T"
Li 0.000 0.000 0.000
Ta 0.000 0.000 2.338
Re 0.000 2.370 2.338
Re 2.370 0.000 2.338
Au 2.370 2.370 0.000
```

Computed properties:
**Symmetry**: P4/mmm (123)
**Fermi-level density of states**: 5.56 states/eV per cell
**Energy**: -6.47 eV/atom

# 2
This record from the Alexandria database describes a relaxed structure of LiRe2TeAu. The functional is PBE-GGA.

extended XYZ file:
```
5
Lattice="4.365 0.000 0.000 0.000 4.365 0.000 0.000 0.000 4.348" Properties=species:S:1:pos:R:3 pbc="T T T"
Li 0.000 0.000 0.000
Re 0.000 2.183 0.000
Re 2.183 0.000 0.000
Te 0.000 0.000 2.174
Au 2.183 2.183 2.174
```

Computed properties:
**Formation energy (no corrections)**: 1.57 eV per atom
**Symmetry**: P4/mmm (123)
**Fermi-level density of states**: 5.21 states/eV per cell

# 3
This record from the Alexandria database describes a relaxed structure of Li2RhAu2. The functional is PBE-GGA.

extended XYZ file:
```
10
Lattice="7.359 0.000 0.000 0.000 7.359 0.000 0.000 0.000 2.849" Properties=species:S:1:pos:R:3 pbc="T T T"
Li 1.163 2.516 0.000
Li 2.516 6.196 0.000
Li 4.843 1.163 0.000
Li 6.196 4.843 0.000
Rh 0.000 0.000 1.425
Rh 3.680 3.680 1.425
Au 1.049 4.729 1.425
Au 2.630 1.049 1.425
Au 4.729 6.310 1.425
Au 6.310 2.630 1.425
```

Computed properties:
**Symmetry**: P4/mbm (127)
**Fermi-level density of states**: 7.41 states/eV per cell
**Polymorph energy (0 for the lowest one)**: 0.049 eV/atom

# 4
This record from the Alexandria database describes a relaxed structure of LiRh2Au. The functional is PBE-GGA.

extended XYZ file:
```
4
Lattice="2.665 -4.703 0.000 2.665 4.703 0.000 -1.322 0.000 2.383" Properties=species:S:1:pos:R:3 pbc="T T T"
Li 0.000 0.000 0.000
Rh 0.672 2.351 1.192
Rh 0.672 -2.351 1.192
Au 2.665 0.000 0.000
```

Computed properties:
**Symmetry**: C2/m (12)
**Fermi-level density of states**: 4.68 states/eV per cell
**Polymorph energy (0 for the lowest one)**: 0.043 eV/atom

# 5
This record from the Alexandria database describes a relaxed structure of LiRh2Au. The functional is PBE-GGA.

extended XYZ file:
```
4
Lattice="2.995 0.000 0.000 0.000 2.995 0.000 0.000 0.000 6.368" Properties=species:S:1:pos:R:3 pbc="T T T"
Li 0.000 0.000 0.000
Rh 1.498 1.498 1.344
Rh 1.498 1.498 5.023
Au 0.000 0.000 3.184
```

Computed properties:
**Symmetry**: P4/mmm (123)
**Fermi-level density of states**: 6.68 states/eV per cell
**Polymorph energy (0 for the lowest one)**: 0.239 eV/atom

# 6
This record from the Alexandria database describes a relaxed structure of Li6RhAu5. The functional is PBE-GGA.

extended XYZ file:
```
12
Lattice="6.413 -3.628 0.000 6.413 3.628 0.000 -1.275 0.000 3.847" Properties=species:S:1:pos:R:3 pbc="T T T"
Li 3.887 1.832 1.295
Li 6.413 1.830 0.000
Li 7.664 1.832 2.552
Li 3.887 -1.832 1.295
Li 6.413 -1.830 0.000
Li 7.664 -1.832 2.552
Rh -0.638 0.000 1.924
Au 1.866 0.000 0.618
Au 3.194 0.000 3.198
Au 5.776 0.000 1.924
Au 8.357 0.000 0.649
Au 9.685 0.000 3.229
```

Computed properties:
**Symmetry**: C2/m (12)
**Fermi-level density of states**: 3.53 states/eV per cell
**Energy**: -3.40 eV/atom

# 7
This record from the Alexandria database describes a relaxed structure of LiRh2Au. The functional is PBE-GGA.

extended XYZ file:
```
4
Lattice="2.669 -4.068 0.000 2.669 4.068 0.000 0.000 0.000 2.724" Properties=species:S:1:pos:R:3 pbc="T T T"
Li 0.000 0.000 0.000
Rh 1.335 2.034 1.362
Rh 1.335 -2.034 1.362
Au 2.669 0.000 0.000
```

Computed properties:
**Symmetry**: Cmmm (65)
**Fermi-level density of states**: 4.12 states/eV per cell
**Polymorph energy (0 for the lowest one)**: 0.082 eV/atom

# 8
This record from the Alexandria database describes a relaxed structure of LiRh2Au. The functional is PBE-GGA.

extended XYZ file:
```
4
Lattice="0.000 3.106 3.106 3.106 0.000 3.106 3.106 3.106 0.000" Properties=species:S:1:pos:R:3 pbc="T T T"
Li 0.000 0.000 0.000
Rh 1.553 1.553 1.553
Rh 4.659 4.659 4.659
Au 3.106 3.106 3.106
```

Computed properties:
**Symmetry**: Fm-3m (225)
**Fermi-level density of states**: 3.03 states/eV per cell
**Polymorph energy (0 for the lowest one)**: 0.225 eV/atom

Among the records above, which one has the highest Fermi-level density of states? Li2RhAu2

Look up the Fermi-level density of states of the second one. 5.21 states/eV per cell